[1]
VCoBi2: relaxed, PBE-GGA.

abc: 4.891 4.891 4.891
angles: 60.00 60.00 60.00
Last column: magnetic moment on the atom in μB.
Element x y z (fractional)
1 Co 0.500 0.500 0.500  1.50
2 Bi 0.250 0.250 0.250  -0.02
3 Bi 0.750 0.750 0.750  -0.02
4 V 0.000 0.000 0.000  2.60

Values from the calculation:
For the energy, the calculation gives -5.454 eV/atom. The value obtained for the excess energy over the best structure of this formula in the dataset is 0 meV per atom. The density of states at the Fermi level is 4.94 states/eV/cell. The calculation puts the formation energy at 0.543 eV per atom. For the volume, the calculation gives 20.69 Å³ per atom.


[2]
V3CoBi: relaxed, PBE-GGA.

abc: 4.410 4.410 4.410
angles: 90.00 90.00 90.00
Last column: magnetic moment on the atom in μB.
Element x y z (fractional)
1 Co 0.000 0.000 0.000  -0.02
2 Bi 0.500 0.500 0.500  -0.03
3 V 0.000 0.500 0.000  0.32
4 V 0.000 0.000 0.500  0.32
5 V 0.500 0.000 0.000  0.32

Values from the calculation:
For the energy, the calculation gives -7.084 eV/atom. The value obtained for the excess energy over the best structure of this formula in the dataset is 0 meV per atom. The density of states at the Fermi level is 6.92 states/eV/cell. The calculation puts the formation energy at 0.585 eV per atom. For the volume, the calculation gives 17.15 Å³ per atom.


[3]
V2Co2Bi: relaxed, PBE-GGA.

abc: 3.760 3.760 6.117
angles: 72.10 72.10 90.00
Element x y z (fractional)
1 Co 0.750 0.250 0.500
2 Co 0.250 0.750 0.500
3 Bi 0.000 0.000 0.000
4 V 0.375 0.375 0.249
5 V 0.625 0.625 0.751

Values from the calculation:
For the energy, the calculation gives -6.939 eV/atom. The value obtained for the excess energy over the best structure of this formula in the dataset is 85 meV per atom. The density of states at the Fermi level is 5.76 states/eV/cell. The calculation puts the formation energy at 0.326 eV per atom. For the volume, the calculation gives 15.58 Å³ per atom.


[4]
VCoBi2: relaxed, PBE-GGA.

abc: 7.499 7.499 6.188
angles: 52.71 52.71 90.00
Last column: magnetic moment on the atom in μB.
Element x y z (fractional)
1 Co 0.000 0.000 0.000  0.56
2 Co 0.750 0.250 0.500  0.56
3 Bi 0.662 0.125 0.250  -0.06
4 Bi 0.088 0.625 0.250  -0.06
5 Bi 0.375 0.338 0.750  -0.06
6 Bi 0.875 0.912 0.750  -0.06
7 V 0.500 0.500 0.000  2.58
8 V 0.250 0.750 0.500  2.58

Values from the calculation:
For the energy, the calculation gives -5.307 eV/atom. The value obtained for the excess energy over the best structure of this formula in the dataset is 147 meV per atom. The density of states at the Fermi level is 12.79 states/eV/cell. The calculation puts the formation energy at 0.689 eV per atom. For the volume, the calculation gives 22.42 Å³ per atom.


[5]
CoBi3W: relaxed, PBE-GGA.

abc: 5.377 5.377 5.377
angles: 90.00 90.00 90.00
Last column: magnetic moment on the atom in μB.
Element x y z (fractional)
1 Co 0.500 0.500 0.500  2.07
2 Bi 0.000 0.500 0.000  -0.06
3 Bi 0.000 0.000 0.500  -0.05
4 Bi 0.500 0.000 0.000  -0.03
5 W 0.000 0.000 0.000  -0.05

Values from the calculation:
For the energy, the calculation gives -4.985 eV/atom. The value obtained for the excess energy over the best structure of this formula in the dataset is 115 meV per atom. The density of states at the Fermi level is 13.33 states/eV/cell. The calculation puts the formation energy at 1.355 eV per atom. For the volume, the calculation gives 31.09 Å³ per atom.


[6]
CoBi2W: relaxed, PBE-GGA.

abc: 4.823 4.823 4.823
angles: 60.00 60.00 60.00
Last column: magnetic moment on the atom in μB.
Element x y z (fractional)
1 Co 0.000 0.000 0.000  0.22
2 Bi 0.250 0.250 0.250  0.00
3 Bi 0.750 0.750 0.750  0.00
4 W 0.500 0.500 0.500  -0.02

Values from the calculation:
For the energy, the calculation gives -6.002 eV/atom. The value obtained for the excess energy over the best structure of this formula in the dataset is 0 meV per atom. The density of states at the Fermi level is 3.90 states/eV/cell. The calculation puts the formation energy at 0.953 eV per atom. For the volume, the calculation gives 19.84 Å³ per atom.


[7]
CoBiW2: relaxed, PBE-GGA.

abc: 3.816 3.816 10.315
angles: 79.34 79.34 90.00
Last column: magnetic moment on the atom in μB.
Element x y z (fractional)
1 Co 0.500 0.500 0.000  0.66
2 Co 0.250 0.750 0.500  0.66
3 Bi 0.000 0.000 0.000  -0.03
4 Bi 0.750 0.250 0.500  -0.03
5 W 0.604 0.125 0.250  0.03
6 W 0.146 0.625 0.250  0.02
7 W 0.375 0.396 0.750  0.03
8 W 0.875 0.854 0.750  0.02

Values from the calculation:
For the energy, the calculation gives -8.194 eV/atom. The density of states at the Fermi level is 7.22 states/eV/cell. The calculation puts the formation energy at 1.030 eV per atom. For the volume, the calculation gives 18.12 Å³ per atom.


[8]
CoBi3W: relaxed, PBE-GGA.

abc: 5.062 5.062 5.062
angles: 90.00 90.00 90.00
Last column: magnetic moment on the atom in μB.
Element x y z (fractional)
1 Co 0.000 0.000 0.000  -0.54
2 Bi 0.000 0.500 0.000  -0.08
3 Bi 0.000 0.000 0.500  -0.07
4 Bi 0.500 0.000 0.000  -0.06
5 W 0.500 0.500 0.500  2.65

Values from the calculation:
For the energy, the calculation gives -5.101 eV/atom. The value obtained for the excess energy over the best structure of this formula in the dataset is 0 meV per atom. The density of states at the Fermi level is 5.69 states/eV/cell. The calculation puts the formation energy at 1.240 eV per atom. For the volume, the calculation gives 25.95 Å³ per atom.


Q: What is the formula in the third record?
A: V2Co2Bi